1) This record from the Alexandria database describes a relaxed Mg2NiBr crystal. The functional is GGA-PBEsol.

Cell and atoms, written as POSCAR:
```
Mg2NiBr
1.0
4.7757 0.0000 0.0000
0.0000 4.7757 0.0000
0.0000 0.0000 3.1391
Mg Ni Br
2 1 1
Cartesian
0.0000 2.3879 0.0000 Mg
2.3879 0.0000 0.0000 Mg
0.0000 0.0000 1.5696 Ni
2.3879 2.3879 1.5696 Br
```

## Properties
V: 17.9 Å³/atom
density: 4.342 g cm⁻³
symmetry: P4/mmm, No. 123



2) This record from the Alexandria database describes a relaxed Mg2NiBr crystal. The functional is GGA-PBEsol.

Cell and atoms, written as POSCAR:
```
Mg2NiBr
1.0
1.6750 0.9671 7.7371
-1.6750 0.9671 7.7371
0.0000 -1.9341 7.7371
Mg Ni Br
2 1 1
Cartesian
0.0000 0.0000 5.5750 Mg
0.0000 0.0000 17.6362 Mg
0.0000 0.0000 11.6056 Ni
0.0000 0.0000 0.0000 Br
```

## Properties
V: 18.8 Å³/atom
density: 4.134 g cm⁻³
symmetry: R-3m, No. 166



Most stable: 2). Least stable: 1).



1) This record from the Alexandria database describes a relaxed MgOsBr2 crystal. The functional is GGA-PBEsol.

Cell and atoms, written as POSCAR:
```
MgOsBr2
1.0
1.5467 -2.8855 0.0000
1.5467 2.8855 0.0000
0.0000 0.0000 9.4725
Mg Os Br
1 1 2
Cartesian
0.0000 0.0000 0.0000 Mg
0.0000 0.0000 4.7362 Os
1.5467 0.0000 2.7607 Br
1.5467 0.0000 6.7118 Br
```

## Properties
V: 21.1 Å³/atom
density: 7.352 g cm⁻³
symmetry: Cmmm, No. 65



2) This record from the Alexandria database describes a relaxed MgOsBr2 crystal. The functional is GGA-PBEsol.

Cell and atoms, written as POSCAR:
```
MgOsBr2
1.0
7.9253 -1.5707 0.0000
7.9253 1.5707 0.0000
-0.8937 0.0000 3.6704
Mg Os Br
1 1 2
Cartesian
0.0000 0.0000 0.0000 Mg
10.0908 0.0000 0.5188 Os
2.3418 0.0000 2.5057 Br
6.1496 0.0000 1.5058 Br
```

## Properties
V: 22.8 Å³/atom
density: 6.802 g cm⁻³
symmetry: Cm, No. 8



3) This record from the Alexandria database describes a relaxed MgOsBr2 crystal. The functional is GGA-PBEsol.

Cell and atoms, written as POSCAR:
```
MgOsBr2
1.0
-1.8642 1.8642 5.7046
1.8642 -1.8642 5.7046
1.8642 1.8642 -5.7046
Mg Os Br
1 1 2
Cartesian
0.0000 0.0000 0.0000 Mg
0.0000 1.8642 2.8523 Os
1.8642 0.0000 2.8523 Br
0.0000 0.0000 5.7046 Br
```

## Properties
V: 19.8 Å³/atom
density: 7.839 g cm⁻³
symmetry: I-4m2, No. 119



Most stable: 2). Least stable: 3).



1) This record from the Alexandria database describes a relaxed Mg2OsBr crystal. The functional is GGA-PBEsol.

Cell and atoms, written as POSCAR:
```
Mg2OsBr
1.0
-2.0330 2.0330 4.1895
2.0330 -2.0330 4.1895
2.0330 2.0330 -4.1895
Mg Os Br
2 1 1
Cartesian
2.0330 0.0000 2.0948 Mg
0.0000 2.0330 2.0948 Mg
0.0000 0.0000 0.0000 Os
0.0000 0.0000 4.1895 Br
```

## Properties
V: 17.3 Å³/atom
density: 7.641 g cm⁻³
symmetry: I4/mmm, No. 139



2) This record from the Alexandria database describes a relaxed Mg2OsBr crystal. The functional is GGA-PBEsol.

Cell and atoms, written as POSCAR:
```
Mg2OsBr
1.0
3.5070 0.0000 0.0000
0.0000 3.5070 0.0000
0.0000 0.0000 6.7566
Mg Os Br
2 1 1
Cartesian
0.0000 0.0000 0.0000 Mg
1.7535 1.7535 1.8551 Mg
0.0000 0.0000 2.5726 Os
1.7535 1.7535 5.4389 Br
```

## Properties
V: 20.8 Å³/atom
density: 6.369 g cm⁻³
symmetry: P4mm, No. 99



Most stable: 2). Least stable: 1).



1) This record from the Alexandria database describes a relaxed Mg2ReBr crystal. The functional is GGA-PBEsol.

Cell and atoms, written as POSCAR:
```
Mg2ReBr
1.0
4.9680 0.0000 0.0000
0.0000 4.9680 0.0000
0.0000 0.0000 2.9890
Mg Re Br
2 1 1
Cartesian
0.0000 2.4840 0.0000 Mg
2.4840 0.0000 0.0000 Mg
0.0000 0.0000 1.4945 Re
2.4840 2.4840 1.4945 Br
```

## Properties
V: 18.4 Å³/atom
density: 7.084 g cm⁻³
symmetry: P4/mmm, No. 123



2) This record from the Alexandria database describes a relaxed Mg2ReBr crystal. The functional is GGA-PBEsol.

Cell and atoms, written as POSCAR:
```
Mg2ReBr
1.0
3.0686 0.0000 0.0000
0.0000 3.0686 0.0000
0.0000 0.0000 8.3146
Mg Re Br
2 1 1
Cartesian
0.0000 0.0000 0.0000 Mg
1.5343 1.5343 2.3403 Mg
0.0000 0.0000 4.1807 Re
1.5343 1.5343 5.6447 Br
```

## Properties
V: 19.6 Å³/atom
density: 6.675 g cm⁻³
symmetry: P4mm, No. 99



Most stable: 1). Least stable: 2).



1) This record from the Alexandria database describes a relaxed Mg2ReBr crystal. The functional is GGA-PBEsol.

Cell and atoms, written as POSCAR:
```
Mg2ReBr
1.0
1.8268 -2.4212 0.0000
1.8268 2.4212 0.0000
0.0000 0.0000 8.3102
Mg Re Br
2 1 1
Cartesian
0.0000 0.0000 1.9559 Mg
0.0000 0.0000 6.3543 Mg
1.8268 0.0000 0.0000 Re
1.8268 0.0000 4.1551 Br
```

## Properties
V: 18.4 Å³/atom
density: 7.109 g cm⁻³
symmetry: Cmmm, No. 65



2) This record from the Alexandria database describes a relaxed Mg2ReBr crystal. The functional is GGA-PBEsol.

Cell and atoms, written as POSCAR:
```
Mg2ReBr
1.0
-3.7015 3.7015 2.8634
3.7015 -3.7015 2.8634
3.7015 3.7015 -2.8634
Mg Re Br
4 2 2
Cartesian
5.5522 1.7846 -0.7159 Mg
1.7846 1.8507 0.7159 Mg
-1.8507 1.9169 2.1476 Mg
1.9169 1.8507 3.5793 Mg
3.7015 0.0000 1.4317 Re
0.0000 0.0000 2.8634 Re
0.0000 0.0000 0.0000 Br
0.0000 3.7015 1.4317 Br
```

## Properties
V: 19.6 Å³/atom
density: 6.660 g cm⁻³
symmetry: I-42d, No. 122



3) This record from the Alexandria database describes a relaxed Mg2ReBr crystal. The functional is GGA-PBEsol.

Cell and atoms, written as POSCAR:
```
Mg2ReBr
1.0
-1.4798 2.3420 6.0079
1.4798 -2.3420 6.0079
1.4798 2.3420 -6.0079
Mg Re Br
2 1 1
Cartesian
0.0000 0.0000 0.0000 Mg
0.0000 2.3420 1.9439 Mg
1.4798 0.0000 2.3045 Re
0.0000 0.0000 4.3700 Br
```

## Properties
V: 20.8 Å³/atom
density: 6.275 g cm⁻³
symmetry: Imm2, No. 44



Most stable: 1). Least stable: 2).



1) This record from the Alexandria database describes a relaxed MgRhBr2 crystal. The functional is GGA-PBEsol.

Cell and atoms, written as POSCAR:
```
MgRhBr2
1.0
3.3762 0.0000 0.0000
0.0000 3.3762 0.0000
0.0000 0.0000 6.6331
Mg Rh Br
1 1 2
Cartesian
0.0000 0.0000 0.0000 Mg
0.0000 0.0000 3.3165 Rh
1.6881 1.6881 1.6599 Br
1.6881 1.6881 4.9732 Br
```

## Properties
V: 18.9 Å³/atom
density: 6.303 g cm⁻³
symmetry: P4/mmm, No. 123



2) This record from the Alexandria database describes a relaxed MgRhBr2 crystal. The functional is GGA-PBEsol.

Cell and atoms, written as POSCAR:
```
MgRhBr2
1.0
3.9114 -1.8504 0.0000
3.9114 1.8504 0.0000
-1.2342 0.0000 7.1316
Mg Rh Br
1 1 2
Cartesian
0.0000 0.0000 0.0000 Mg
5.5154 0.0000 1.0064 Rh
1.6956 0.0000 2.5556 Br
4.0254 0.0000 5.6403 Br
```

## Properties
V: 25.8 Å³/atom
density: 4.617 g cm⁻³
symmetry: Cm, No. 8



3) This record from the Alexandria database describes a relaxed MgRhBr2 crystal. The functional is GGA-PBEsol.

Cell and atoms, written as POSCAR:
```
MgRhBr2
1.0
1.9305 -2.9990 0.0000
1.9305 2.9990 0.0000
0.0000 0.0000 7.0972
Mg Rh Br
1 1 2
Cartesian
0.0000 0.0000 0.0000 Mg
0.0000 0.0000 3.5486 Rh
1.9305 0.0000 1.8378 Br
1.9305 0.0000 5.2594 Br
```

## Properties
V: 20.5 Å³/atom
density: 5.800 g cm⁻³
symmetry: Cmmm, No. 65



4) This record from the Alexandria database describes a relaxed MgRhBr2 crystal. The functional is GGA-PBEsol.

Cell and atoms, written as POSCAR:
```
MgRhBr2
1.0
1.8273 1.0550 8.0227
-1.8273 1.0550 8.0227
0.0000 -2.1099 8.0227
Mg Rh Br
1 1 2
Cartesian
0.0000 0.0000 0.0000 Mg
0.0000 0.0000 18.0268 Rh
0.0000 0.0000 6.4107 Br
0.0000 0.0000 11.2077 Br
```

## Properties
V: 23.2 Å³/atom
density: 5.136 g cm⁻³
symmetry: R3m, No. 160



Most stable: 2). Least stable: 1).